Ho2MgZrSc4: optimized geometry, PBE.

Cell lengths 5.725, 3.329, 10.922 Å; angles 90.00, 100.87, 90.00 degrees
Fractional coordinates of all 8 atoms:
Ho 0.000 0.000 0.000
Ho 0.000 0.500 0.500
Mg 0.500 0.000 0.500
Zr 0.500 0.500 0.000
Sc 0.250 0.000 0.759
Sc 0.259 0.500 0.250
Sc 0.741 0.500 0.750
Sc 0.750 0.000 0.241

Summary:
M_tot in μB/f.u.: 0.000
Crystal system: monoclinic
Energy relative to the elements in meV per atom: 50.3
VASP energy in Ry per atom: -0.4063